Entry 1:
# Ba2Ho2Sb3

An optimized crystal structure of Ba2Ho2Sb3 (PBE-GGA, OQMD).

Values from the calculation:
Total moment in μB per formula unit: 0.10
Calculated total energy in eV per atom: -4.53
Crystal system: monoclinic

Geometry as CIF:
```
data_Ba2Ho2Sb3
_chemical_formula_sum 'Ba8 Ho8 Sb12'
_cell_length_a 18.656
_cell_length_b 4.900
_cell_length_c 14.453
_cell_angle_alpha 90.00
_cell_angle_beta 124.74
_cell_angle_gamma 90.00
_symmetry_space_group_name_H-M 'C 1 2/m 1'
_symmetry_Int_Tables_number 12
_symmetry_space_group_name_Hall '-C 2y'
loop_
_atom_site_label
_atom_site_fract_x
_atom_site_fract_y
_atom_site_fract_z
Ba1 0.102 0.000 0.469
Ba2 0.230 0.000 0.835
Ho1 0.043 0.500 0.818
Ho2 0.092 0.000 0.163
Sb1 0.086 0.500 0.653
Sb2 0.115 0.000 0.971
Sb3 0.157 0.500 0.314
```

Entry 2:
# BaHoZnSb2

An optimized crystal structure of BaHoZnSb2 (PBE-GGA, OQMD).

Values from the calculation:
Total moment in μB per formula unit: 0.09
Calculated total energy in eV per atom: -3.98
Crystal system: orthorhombic

Geometry as CIF:
```
data_BaHoZnSb2
_chemical_formula_sum 'Ba4 Ho4 Zn4 Sb8'
_cell_length_a 4.723
_cell_length_b 18.327
_cell_length_c 7.099
_cell_angle_alpha 90.00
_cell_angle_beta 90.00
_cell_angle_gamma 90.00
_symmetry_space_group_name_H-M 'C m c 21'
_symmetry_Int_Tables_number 36
_symmetry_space_group_name_Hall 'C 2c -2'
loop_
_atom_site_label
_atom_site_fract_x
_atom_site_fract_y
_atom_site_fract_z
Ba1 0.000 0.202 0.000
Ho1 0.000 0.007 0.736
Zn1 0.000 0.409 0.884
Sb1 0.000 0.150 0.493
Sb2 0.000 0.437 0.494
```

Entry 3:
# Ba2HoSe3

An optimized crystal structure of Ba2HoSe3 (PBE-GGA, OQMD).

Values from the calculation:
Total moment in μB per formula unit: 0.01
Calculated total energy in eV per atom: -5.05
Crystal system: trigonal

Geometry as CIF:
```
data_Ba2HoSe3
_chemical_formula_sum 'Ba2 Ho1 Se3'
_cell_length_a 4.4004
_cell_length_b 4.4004
_cell_length_c 11.2189
_cell_angle_alpha 90.00
_cell_angle_beta 90.00
_cell_angle_gamma 120.00
_symmetry_space_group_name_H-M 'P -3 m 1'
_symmetry_Int_Tables_number 164
_symmetry_space_group_name_Hall '-P 3 2"'
loop_
_atom_site_label
_atom_site_fract_x
_atom_site_fract_y
_atom_site_fract_z
Ba1 0.3333 0.6667 0.1784
Ho1 0.0000 0.0000 0.5000
Se1 0.0000 0.0000 0.0000
Se2 0.3333 0.6667 0.6342
```

Entry 4:
# BaHoSi

An optimized crystal structure of BaHoSi (PBE-GGA, OQMD).

Values from the calculation:
Total moment in μB per formula unit: 0.02
Calculated total energy in eV per atom: -4.09
Crystal system: cubic

Geometry as CIF:
```
data_BaHoSi
_chemical_formula_sum 'Ba4 Ho4 Si4'
_cell_length_a 7.392
_cell_length_b 7.392
_cell_length_c 7.392
_cell_angle_alpha 90.00
_cell_angle_beta 90.00
_cell_angle_gamma 90.00
_symmetry_space_group_name_H-M 'F -4 3 m'
_symmetry_Int_Tables_number 216
_symmetry_space_group_name_Hall 'F -4 2 3'
loop_
_atom_site_label
_atom_site_fract_x
_atom_site_fract_y
_atom_site_fract_z
Ba1 0.000 0.000 0.000
Ho1 0.000 0.000 0.500
Si1 0.250 0.250 0.250
```

Entry 5:
# BaHoSi

An optimized crystal structure of BaHoSi (PBE-GGA, OQMD).

Values from the calculation:
Total moment in μB per formula unit: 0.00
Calculated total energy in eV per atom: -3.28
Crystal system: cubic

Geometry as CIF:
```
data_BaHoSi
_chemical_formula_sum 'Ba4 Ho4 Si4'
_cell_length_a 7.376
_cell_length_b 7.376
_cell_length_c 7.376
_cell_angle_alpha 90.00
_cell_angle_beta 90.00
_cell_angle_gamma 90.00
_symmetry_space_group_name_H-M 'F -4 3 m'
_symmetry_Int_Tables_number 216
_symmetry_space_group_name_Hall 'F -4 2 3'
loop_
_atom_site_label
_atom_site_fract_x
_atom_site_fract_y
_atom_site_fract_z
Ba1 0.000 0.000 0.000
Ho1 0.250 0.250 0.750
Si1 0.250 0.250 0.250
```

Entry 6:
# BaSmHo

An optimized crystal structure of BaSmHo (PBE-GGA, OQMD).

Values from the calculation:
Total moment in μB per formula unit: 0.02
Excess energy over the best structure of this formula in the dataset in meV/atom: 0
Crystal system: cubic

Geometry as CIF:
```
data_BaSmHo
_chemical_formula_sum 'Ba4 Sm4 Ho4'
_cell_length_a 8.227
_cell_length_b 8.227
_cell_length_c 8.227
_cell_angle_alpha 90.00
_cell_angle_beta 90.00
_cell_angle_gamma 90.00
_symmetry_space_group_name_H-M 'F -4 3 m'
_symmetry_Int_Tables_number 216
_symmetry_space_group_name_Hall 'F -4 2 3'
loop_
_atom_site_label
_atom_site_fract_x
_atom_site_fract_y
_atom_site_fract_z
Ba1 0.000 0.000 0.000
Sm1 0.000 0.000 0.500
Ho1 0.250 0.250 0.750
```

Entry 7:
# BaTbHo

An optimized crystal structure of BaTbHo (PBE-GGA, OQMD).

Values from the calculation:
Total moment in μB per formula unit: 0.01
Calculated total energy in eV per atom: -2.88
Crystal system: cubic

Geometry as CIF:
```
data_BaTbHo
_chemical_formula_sum 'Ba4 Tb4 Ho4'
_cell_length_a 8.173
_cell_length_b 8.173
_cell_length_c 8.173
_cell_angle_alpha 90.00
_cell_angle_beta 90.00
_cell_angle_gamma 90.00
_symmetry_space_group_name_H-M 'F -4 3 m'
_symmetry_Int_Tables_number 216
_symmetry_space_group_name_Hall 'F -4 2 3'
loop_
_atom_site_label
_atom_site_fract_x
_atom_site_fract_y
_atom_site_fract_z
Ba1 0.000 0.000 0.000
Tb1 0.000 0.000 0.500
Ho1 0.250 0.250 0.250
```

Entry 8:
# BaHoTc

An optimized crystal structure of BaHoTc (PBE-GGA, OQMD).

Values from the calculation:
Total moment in μB per formula unit: 0.80
Excess energy over the best structure of this formula in the dataset in meV/atom: 332
Crystal system: cubic

Geometry as CIF:
```
data_BaHoTc
_chemical_formula_sum 'Ba4 Ho4 Tc4'
_cell_length_a 6.946
_cell_length_b 6.946
_cell_length_c 6.946
_cell_angle_alpha 90.00
_cell_angle_beta 90.00
_cell_angle_gamma 90.00
_symmetry_space_group_name_H-M 'F -4 3 m'
_symmetry_Int_Tables_number 216
_symmetry_space_group_name_Hall 'F -4 2 3'
loop_
_atom_site_label
_atom_site_fract_x
_atom_site_fract_y
_atom_site_fract_z
Ba1 0.000 0.000 0.000
Ho1 0.250 0.250 0.750
Tc1 0.250 0.250 0.250
```

Entry 9:
# BaHoTc

An optimized crystal structure of BaHoTc (PBE-GGA, OQMD).

Values from the calculation:
Total moment in μB per formula unit: 0.51
Excess energy over the best structure of this formula in the dataset in meV/atom: 0
Crystal system: cubic

Geometry as CIF:
```
data_BaHoTc
_chemical_formula_sum 'Ba4 Ho4 Tc4'
_cell_length_a 7.094
_cell_length_b 7.094
_cell_length_c 7.094
_cell_angle_alpha 90.00
_cell_angle_beta 90.00
_cell_angle_gamma 90.00
_symmetry_space_group_name_H-M 'F -4 3 m'
_symmetry_Int_Tables_number 216
_symmetry_space_group_name_Hall 'F -4 2 3'
loop_
_atom_site_label
_atom_site_fract_x
_atom_site_fract_y
_atom_site_fract_z
Ba1 0.000 0.000 0.000
Ho1 0.250 0.250 0.250
Tc1 0.000 0.000 0.500
```

Entry 10:
# BaHoZnTe3

An optimized crystal structure of BaHoZnTe3 (PBE-GGA, OQMD).

Values from the calculation:
Total moment in μB per formula unit: 0.01
Calculated total energy in eV per atom: -3.98
Crystal system: orthorhombic

Geometry as CIF:
```
data_BaHoZnTe3
_chemical_formula_sum 'Ba4 Ho4 Zn4 Te12'
_cell_length_a 4.652
_cell_length_b 14.879
_cell_length_c 11.369
_cell_angle_alpha 90.00
_cell_angle_beta 90.00
_cell_angle_gamma 90.00
_symmetry_space_group_name_H-M 'C m c m'
_symmetry_Int_Tables_number 63
_symmetry_space_group_name_Hall '-C 2c 2'
loop_
_atom_site_label
_atom_site_fract_x
_atom_site_fract_y
_atom_site_fract_z
Ba1 0.000 0.242 0.250
Ho1 0.000 0.000 0.000
Zn1 0.000 0.480 0.750
Te1 0.000 0.076 0.750
Te2 0.000 0.366 0.561
```

Entry 11:
# BaHoTh

An optimized crystal structure of BaHoTh (PBE-GGA, OQMD).

Values from the calculation:
Total moment in μB per formula unit: 2.17
Excess energy over the best structure of this formula in the dataset in meV/atom: 0
Crystal system: cubic

Geometry as CIF:
```
data_BaHoTh
_chemical_formula_sum 'Ba4 Ho4 Th4'
_cell_length_a 8.169
_cell_length_b 8.169
_cell_length_c 8.169
_cell_angle_alpha 90.00
_cell_angle_beta 90.00
_cell_angle_gamma 90.00
_symmetry_space_group_name_H-M 'F -4 3 m'
_symmetry_Int_Tables_number 216
_symmetry_space_group_name_Hall 'F -4 2 3'
loop_
_atom_site_label
_atom_site_fract_x
_atom_site_fract_y
_atom_site_fract_z
Ba1 0.000 0.000 0.000
Ho1 0.000 0.000 0.500
Th1 0.250 0.250 0.250
```

Entry 12:
# BaHoTl

An optimized crystal structure of BaHoTl (PBE-GGA, OQMD).

Values from the calculation:
Total moment in μB per formula unit: 0.01
Excess energy over the best structure of this formula in the dataset in meV/atom: 0
Crystal system: cubic

Geometry as CIF:
```
data_BaHoTl
_chemical_formula_sum 'Ba4 Ho4 Tl4'
_cell_length_a 7.872
_cell_length_b 7.872
_cell_length_c 7.872
_cell_angle_alpha 90.00
_cell_angle_beta 90.00
_cell_angle_gamma 90.00
_symmetry_space_group_name_H-M 'F -4 3 m'
_symmetry_Int_Tables_number 216
_symmetry_space_group_name_Hall 'F -4 2 3'
loop_
_atom_site_label
_atom_site_fract_x
_atom_site_fract_y
_atom_site_fract_z
Ba1 0.000 0.000 0.000
Ho1 0.000 0.000 0.500
Tl1 0.250 0.250 0.250
```